Entry from the Alexandria database: crystalline Ca2PuNi3H12 at its relaxed geometry (PBE).

Summary:
Raw total energy ... -4.478 eV per atom
DOS(E_F) ... 0.666 states/eV/atom

abc: 6.0145 6.0145 6.0145
angles: 62.96 62.96 62.96
With the nearest neighbours (Å) after each atom.
Fractional positions:
Ca 0.1152 0.1152 0.1152  3 H 2.19
Ca 0.8848 0.8848 0.8848  3 H 2.19
Pu 0.5000 0.5000 0.5000  12 H 2.21-2.43
Ni 0.0000 0.5000 0.5000  6 H 1.62-1.69
Ni 0.5000 0.0000 0.5000  6 H 1.62-1.69
Ni 0.5000 0.5000 0.0000  6 H 1.62-1.69
H 0.0661 0.6341 0.6341  1 Ni 1.62
H 0.2345 0.2345 0.6135  2 Ni 1.69
H 0.2345 0.6135 0.2345  2 Ni 1.69
H 0.3659 0.3659 0.9339  1 Ni 1.62
H 0.3659 0.9339 0.3659  1 Ni 1.62
H 0.3865 0.7655 0.7655  2 Ni 1.69
H 0.6135 0.2345 0.2345  2 Ni 1.69
H 0.6341 0.0661 0.6341  1 Ni 1.62
H 0.6341 0.6341 0.0661  1 Ni 1.62
H 0.7655 0.3865 0.7655  2 Ni 1.69
H 0.7655 0.7655 0.3865  2 Ni 1.69
H 0.9339 0.3659 0.3659  1 Ni 1.62